# GGA-PBE ErSc4Se6, relaxed
# raw formation energy: -1.6997 eV/atom
# N(E_F): 14.939 states/eV/cell
data_ErSc4Se6
_cell_length_a 3.8400
_cell_length_b 12.7189
_cell_length_c 19.9065
_cell_angle_alpha 90.00
_cell_angle_beta 90.00
_cell_angle_gamma 90.00
_space_group_name_H-M_alt 'C m c m'
_space_group_IT_number 63
_space_group_name_Hall '-C 2c 2'
loop_
_atom_site_label
_atom_site_type_symbol
_atom_site_fract_x
_atom_site_fract_y
_atom_site_fract_z
Er1 Er 0.0000 0.1517 0.2500
Sc1 Sc 0.0000 0.0921 0.6245
Sc2 Sc 0.0000 0.3579 0.5375
Se1 Se 0.0000 0.0000 0.0000
Se2 Se 0.0000 0.1844 0.7500
Se3 Se 0.0000 0.2684 0.0890
Se4 Se 0.0000 0.4509 0.6627

---

# GGA-PBE ErSc2Se3, relaxed
# raw formation energy: -1.6206 eV/atom
# N(E_F): 6.367 states/eV/cell
data_ErSc2Se3
_cell_length_a 3.9486
_cell_length_b 5.5559
_cell_length_c 11.7674
_cell_angle_alpha 90.00
_cell_angle_beta 90.00
_cell_angle_gamma 90.00
_space_group_name_H-M_alt 'I m m m'
_space_group_IT_number 71
_space_group_name_Hall '-I 2 2'
loop_
_atom_site_label
_atom_site_type_symbol
_atom_site_fract_x
_atom_site_fract_y
_atom_site_fract_z
Er1 Er 0.0000 0.0000 0.0000
Sc1 Sc 0.0000 0.0000 0.3421
Se1 Se 0.0000 0.5000 0.0000
Se2 Se 0.0000 0.5000 0.3252

---

# GGA-PBE Er3ScSe4, relaxed
# raw formation energy: -1.6613 eV/atom
# N(E_F): 9.886 states/eV/cell
data_Er3ScSe4
_cell_length_a 8.0732
_cell_length_b 11.3176
_cell_length_c 3.9627
_cell_angle_alpha 90.00
_cell_angle_beta 90.00
_cell_angle_gamma 90.00
_space_group_name_H-M_alt 'C m m m'
_space_group_IT_number 65
_space_group_name_Hall '-C 2 2'
loop_
_atom_site_label
_atom_site_type_symbol
_atom_site_fract_x
_atom_site_fract_y
_atom_site_fract_z
Er1 Er 0.0000 0.0000 0.0000
Er2 Er 0.2500 0.2500 0.5000
Sc1 Sc 0.0000 0.5000 0.0000
Se1 Se 0.0000 0.2538 0.0000
Se2 Se 0.2424 0.5000 0.5000